Model a:
DFT (PBE-GGA) results for crystalline TaZnCd2 at its relaxed geometry.

Values from the calculation:
DOS at the Fermi energy	4.18	states/eV per cell

Geometry as POSCAR:
```
TaZnCd2
1.0
0.0000 3.3665 3.3665
3.3665 0.0000 3.3665
3.3665 3.3665 0.0000
Ta Zn Cd
1 1 2
Cartesian
0.0000 0.0000 0.0000
3.3665 3.3665 3.3665
1.6833 1.6833 1.6833
5.0498 5.0498 5.0498
```

Model b:
DFT (PBE-GGA) results for crystalline TaZnCd2 at its relaxed geometry.

Values from the calculation:
DOS at the Fermi energy	1.89	states/eV per cell

Geometry as POSCAR:
```
TaZnCd2
1.0
4.1330 0.0000 0.0000
0.0000 4.1330 0.0000
0.0000 0.0000 4.2958
Ta Zn Cd
1 1 2
Cartesian
0.0000 0.0000 0.0000
2.0665 2.0665 0.0000
0.0000 2.0665 2.1479
2.0665 0.0000 2.1479
```

Model c:
DFT (PBE-GGA) results for crystalline TaZnCd2 at its relaxed geometry.

Values from the calculation:
DOS at the Fermi energy	3.95	states/eV per cell

Geometry as POSCAR:
```
TaZnCd2
1.0
-2.0309 2.0309 4.5683
2.0309 -2.0309 4.5683
2.0309 2.0309 -4.5683
Ta Zn Cd
1 1 2
Cartesian
0.0000 0.0000 0.0000
0.0000 0.0000 4.5683
2.0309 0.0000 2.2841
0.0000 2.0309 2.2841
```

Model d:
DFT (PBE-GGA) results for crystalline TaZnCd2 at its relaxed geometry.

Values from the calculation:
DOS at the Fermi energy	3.81	states/eV per cell

Geometry as POSCAR:
```
TaZnCd2
1.0
1.4878 0.8590 10.0478
-1.4878 0.8590 10.0478
0.0000 -1.7179 10.0478
Ta Zn Cd
1 1 2
Cartesian
0.0000 0.0000 0.0000
0.0000 0.0000 22.3370
0.0000 0.0000 7.4971
0.0000 0.0000 14.7755
```

Which one is most stable, and which one is least stable? model d is the most stable of them, while model a is the least stable.

Model a:
DFT (PBE-GGA) results for crystalline TaZnCd2 at its relaxed geometry.

Values from the calculation:
DOS at the Fermi energy	3.02	states/eV per cell

Geometry as POSCAR:
```
TaZnCd2
1.0
2.9242 0.0000 0.0000
0.0000 4.3594 0.0000
-1.4492 0.0000 5.8958
Ta Zn Cd
1 1 2
Cartesian
0.0000 0.0000 0.0000
1.4609 2.1797 1.0682
0.0153 2.1797 4.2388
1.4687 0.0000 2.7638
```

Model b:
DFT (PBE-GGA) results for crystalline TaZnCd2 at its relaxed geometry.

Values from the calculation:
DOS at the Fermi energy	1.91	states/eV per cell

Geometry as POSCAR:
```
TaZnCd2
1.0
2.0633 -2.0678 0.0000
2.0633 2.0678 0.0000
0.0000 0.0000 8.7695
Ta Zn Cd
1 1 2
Cartesian
0.0000 0.0000 0.0000
2.0633 0.0000 6.8284
0.0000 0.0000 4.7078
2.0633 0.0000 2.2647
```

Model c:
DFT (PBE-GGA) results for crystalline TaZnCd2 at its relaxed geometry.

Values from the calculation:
DOS at the Fermi energy	1.96	states/eV per cell

Geometry as POSCAR:
```
TaZnCd2
1.0
5.5681 -1.4078 0.0000
5.5681 1.4078 0.0000
-2.5422 0.0000 4.8175
Ta Zn Cd
1 1 2
Cartesian
0.0000 0.0000 0.0000
0.5415 0.0000 4.5804
4.3821 0.0000 2.5064
7.2860 0.0000 2.0498
```

Which one is most stable, and which one is least stable? model b is the most stable of them, while model c is the least stable.

Model a:
DFT (PBE-GGA) results for crystalline TaZnCd2 at its relaxed geometry.

Values from the calculation:
DOS at the Fermi energy	2.23	states/eV per cell

Geometry as POSCAR:
```
TaZnCd2
1.0
2.9016 -4.9575 0.0000
2.9016 4.9575 0.0000
-0.9567 0.0000 2.6082
Ta Zn Cd
1 1 2
Cartesian
0.0000 0.0000 0.0000
2.9016 0.0000 0.0000
0.9724 2.4788 1.3041
0.9724 -2.4788 1.3041
```

Model b:
DFT (PBE-GGA) results for crystalline TaZnCd2 at its relaxed geometry.

Values from the calculation:
DOS at the Fermi energy	2.57	states/eV per cell

Geometry as POSCAR:
```
TaZnCd2
1.0
2.9208 -4.5779 0.0000
2.9208 4.5779 0.0000
0.0000 0.0000 2.8454
Ta Zn Cd
1 1 2
Cartesian
0.0000 0.0000 0.0000
2.9208 0.0000 0.0000
1.4604 2.2889 1.4227
1.4604 -2.2889 1.4227
```

Which one is most stable, and which one is least stable? model a is the most stable of them, while model b is the least stable.

Model a:
DFT (PBE-GGA) results for crystalline TaZnCd2 at its relaxed geometry.

Values from the calculation:
DOS at the Fermi energy	1.68	states/eV per cell

Geometry as POSCAR:
```
TaZnCd2
1.0
2.9323 0.0000 0.0000
0.0000 2.9323 0.0000
0.0000 0.0000 8.6357
Ta Zn Cd
1 1 2
Cartesian
0.0000 0.0000 0.0000
0.0000 0.0000 4.3179
1.4662 1.4662 2.2531
1.4662 1.4662 6.3826
```

Model b:
DFT (PBE-GGA) results for crystalline TaZnCd2 at its relaxed geometry.

Values from the calculation:
DOS at the Fermi energy	2.72	states/eV per cell

Geometry as POSCAR:
```
TaZnCd2
1.0
2.9357 0.0000 0.0000
0.0000 4.5606 0.0000
-1.2865 0.0000 5.5876
Ta Zn Cd
1 1 2
Cartesian
0.0000 0.0000 0.0000
0.8246 0.0000 2.7938
0.0894 2.2803 4.1658
1.5599 2.2803 1.4218
```

Which one is most stable, and which one is least stable? model a is the most stable of them, while model b is the least stable.

Model a:
DFT (PBE-GGA) results for crystalline TaZn2Cd at its relaxed geometry.

Values from the calculation:
DOS at the Fermi energy	1.15	states/eV per cell

Geometry as POSCAR:
```
TaZn2Cd
1.0
2.9107 0.0000 0.0000
0.0000 2.9107 0.0000
0.0000 0.0000 8.0940
Ta Zn Cd
1 2 1
Cartesian
0.0000 0.0000 0.0000
1.4553 1.4553 1.9409
1.4553 1.4553 6.1530
0.0000 0.0000 4.0470
```

Model b:
DFT (PBE-GGA) results for crystalline TaZn2Cd at its relaxed geometry.

Values from the calculation:
DOS at the Fermi energy	2.60	states/eV per cell

Geometry as POSCAR:
```
TaZn2Cd
1.0
2.8495 0.0000 0.0000
0.0000 4.1563 0.0000
0.0000 0.0000 5.8719
Ta Zn Cd
1 2 1
Cartesian
0.0000 0.0000 0.0000
0.0000 0.0000 2.7812
1.4248 2.0782 1.2926
1.4248 2.0782 4.2362
```

Model c:
DFT (PBE-GGA) results for crystalline TaZn2Cd at its relaxed geometry.

Values from the calculation:
DOS at the Fermi energy	3.78	states/eV per cell

Geometry as POSCAR:
```
TaZn2Cd
1.0
1.4632 0.8448 9.6440
-1.4632 0.8448 9.6440
0.0000 -1.6895 9.6440
Ta Zn Cd
1 2 1
Cartesian
0.0000 0.0000 0.0000
0.0000 0.0000 7.3637
0.0000 0.0000 21.5684
0.0000 0.0000 14.4661
```

Which one is most stable, and which one is least stable? model a is the most stable of them, while model b is the least stable.

Model a:
DFT (PBE-GGA) results for crystalline TaZnCd3 at its relaxed geometry.

Values from the calculation:
DOS at the Fermi energy	3.80	states/eV per cell

Geometry as POSCAR:
```
TaZnCd3
1.0
5.5965 0.0000 0.0000
0.0000 5.5965 0.0000
0.0000 0.0000 5.5965
Ta Zn Cd
1 1 3
Cartesian
0.0000 0.0000 0.0000
2.7982 2.7982 2.7982
0.0000 0.0000 2.7982
0.0000 2.7982 0.0000
2.7982 0.0000 0.0000
```

Model b:
DFT (PBE-GGA) results for crystalline TaZnCd3 at its relaxed geometry.

Values from the calculation:
DOS at the Fermi energy	3.04	states/eV per cell

Geometry as POSCAR:
```
TaZnCd3
1.0
4.8396 0.0000 0.0000
0.0000 4.8396 0.0000
0.0000 0.0000 4.8396
Ta Zn Cd
1 1 3
Cartesian
0.0000 0.0000 0.0000
2.4198 2.4198 2.4198
0.0000 2.4198 2.4198
2.4198 0.0000 2.4198
2.4198 2.4198 0.0000
```

Which one is most stable, and which one is least stable? model b is the most stable of them, while model a is the least stable.

Model a:
DFT (PBE-GGA) results for crystalline Tb3Cd4 at its relaxed geometry.

Values from the calculation:
DOS at the Fermi energy	13.66	states/eV per cell

Geometry as POSCAR:
```
Tb3Cd4
1.0
6.9785 4.0290 2.1515
-6.9785 4.0290 2.1515
0.0000 -8.0581 2.1515
Tb Cd
6 8
Cartesian
-5.0858 -1.8293 3.0491
-0.9587 -5.3191 3.4055
-4.1271 3.4898 3.4055
4.1271 -3.4898 3.0491
0.9587 5.3191 3.0491
5.0858 1.8293 3.4055
0.0000 0.0000 0.0000
-3.1305 0.6122 2.0472
1.0351 -3.0172 2.0472
-2.0955 -2.4050 4.4074
0.0000 0.0000 3.2273
2.0955 2.4050 2.0472
-1.0351 3.0172 4.4074
3.1305 -0.6122 4.4074
```

Model b:
DFT (PBE-GGA) results for crystalline Tb3Cd4 at its relaxed geometry.

Values from the calculation:
DOS at the Fermi energy	8.20	states/eV per cell

Geometry as POSCAR:
```
Tb3Cd4
1.0
2.6055 1.5043 8.5317
-2.6055 1.5043 8.5317
0.0000 -3.0085 8.5317
Tb Cd
3 4
Cartesian
0.0000 0.0000 0.0000
0.0000 0.0000 6.3761
0.0000 0.0000 19.2189
0.0000 0.0000 3.2342
0.0000 0.0000 9.7338
0.0000 0.0000 15.8612
0.0000 0.0000 22.3608
```

Which one is most stable, and which one is least stable? model a is the most stable of them, while model b is the least stable.

Model a:
DFT (PBE-GGA) results for crystalline Tb5Cd at its relaxed geometry.

Values from the calculation:
DOS at the Fermi energy	6.81	states/eV per cell

Geometry as POSCAR:
```
Tb5Cd
1.0
2.4381 -7.5466 0.0000
2.4381 7.5466 0.0000
0.0000 0.0000 4.8735
Tb Cd
5 1
Cartesian
0.0000 0.0000 0.0000
2.4381 5.0844 2.4367
2.4381 2.5451 0.0000
2.4381 -2.5451 0.0000
2.4381 -5.0844 2.4367
2.4381 0.0000 2.4367
```

Model b:
DFT (PBE-GGA) results for crystalline Tb5Cd at its relaxed geometry.

Values from the calculation:
DOS at the Fermi energy	7.29	states/eV per cell

Geometry as POSCAR:
```
Tb5Cd
1.0
6.1377 -1.8765 0.0000
6.1377 1.8765 0.0000
-3.2210 0.0000 7.9074
Tb Cd
5 1
Cartesian
0.0000 0.0000 0.0000
3.4410 0.0000 1.5056
2.2527 0.0000 5.1082
6.8018 0.0000 2.7992
5.6135 0.0000 6.4018
-1.6105 0.0000 3.9537
```

Which one is most stable, and which one is least stable? model b is the most stable of them, while model a is the least stable.

Model a:
DFT (PBE-GGA) results for crystalline Tb8Cd at its relaxed geometry.

Values from the calculation:
DOS at the Fermi energy	13.71	states/eV per cell

Geometry as POSCAR:
```
Tb8Cd
1.0
-6.0999 6.0999 1.8608
6.0999 -6.0999 1.8608
6.0999 6.0999 -1.8608
Tb Cd
8 1
Cartesian
4.0998 0.0000 0.0000
8.0999 0.0000 0.0000
0.0000 4.0998 0.0000
4.1731 4.1731 0.0000
1.9267 -1.9267 1.8608
-1.9267 1.9267 1.8608
1.9267 1.9267 1.8608
0.0000 8.0999 0.0000
0.0000 0.0000 0.0000
```

Model b:
DFT (PBE-GGA) results for crystalline Tb8Cd at its relaxed geometry.

Values from the calculation:
DOS at the Fermi energy	13.67	states/eV per cell

Geometry as POSCAR:
```
Tb8Cd
1.0
0.0000 7.4446 7.4608
2.4836 0.0000 7.4608
2.4836 7.4446 0.0000
Tb Cd
8 1
Cartesian
2.4836 7.4446 2.4446
2.4836 2.4478 7.4608
2.4836 4.9672 4.9789
2.4836 9.9221 4.9789
2.4836 4.9672 9.9427
2.4836 9.9221 9.9427
2.4836 12.4415 7.4608
2.4836 7.4446 12.4770
2.4836 7.4446 7.4608
```

Which one is most stable, and which one is least stable? model b is the most stable of them, while model a is the least stable.

Model a:
DFT (PBE-GGA) results for crystalline Tb3Cd5 at its relaxed geometry.

Values from the calculation:
DOS at the Fermi energy	7.60	states/eV per cell

Geometry as POSCAR:
```
Tb3Cd5
1.0
7.8413 0.0000 0.0000
-3.9207 6.7908 0.0000
0.0000 0.0000 3.9243
Tb Cd
3 5
Cartesian
-1.5349 2.6586 0.0000
3.0699 0.0000 0.0000
2.3857 4.1322 0.0000
-3.0091 5.2119 1.9622
0.9115 1.5788 1.9622
0.0000 4.5272 1.9622
3.9207 2.2636 1.9622
6.0182 0.0000 1.9622
```

Model b:
DFT (PBE-GGA) results for crystalline Tb3Cd5 at its relaxed geometry.

Values from the calculation:
DOS at the Fermi energy	4.79	states/eV per cell

Geometry as POSCAR:
```
Tb3Cd5
1.0
3.8128 -5.2181 0.0000
3.8128 5.2181 0.0000
0.0000 0.0000 5.0963
Tb Cd
3 5
Cartesian
0.0000 0.0000 0.0000
3.8128 2.4168 2.5481
3.8128 -2.4168 2.5481
1.9064 2.6091 0.0000
1.8420 0.0000 2.5481
1.9064 -2.6091 0.0000
3.8128 0.0000 0.0000
5.7837 0.0000 2.5481
```

Which one is most stable, and which one is least stable? model b is the most stable of them, while model a is the least stable.

Model a:
DFT (PBE-GGA) results for crystalline Tb2Cd3 at its relaxed geometry.

Values from the calculation:
DOS at the Fermi energy	8.82	states/eV per cell

Geometry as POSCAR:
```
Tb2Cd3
1.0
-3.5390 6.3470 3.0297
3.5390 -6.3470 3.0297
3.5390 6.3470 -3.0297
Tb Cd
4 6
Cartesian
1.5903 2.2478 0.0000
1.5903 -2.2478 3.0297
1.9487 8.5948 0.0000
1.9487 4.0992 3.0297
5.8341 1.0333 0.0000
3.5390 0.0000 1.5149
2.2951 5.3137 0.0000
1.2440 1.0333 3.0297
0.0000 6.3470 1.5149
-2.2951 5.3137 3.0297
```

Model b:
DFT (PBE-GGA) results for crystalline Tb2Cd3 at its relaxed geometry.

Values from the calculation:
DOS at the Fermi energy	8.56	states/eV per cell

Geometry as POSCAR:
```
Tb2Cd3
1.0
1.7325 -14.8275 0.0000
1.7325 14.8275 0.0000
0.0000 0.0000 4.9683
Tb Cd
4 6
Cartesian
1.7325 12.6189 3.7262
1.7325 8.4448 1.2421
1.7325 -8.4448 3.7262
1.7325 -12.6189 1.2421
1.7325 5.1664 1.2421
1.7325 3.5758 3.7262
1.7325 0.6998 3.7262
1.7325 -0.6998 1.2421
1.7325 -3.5758 1.2421
1.7325 -5.1664 3.7262
```

Which one is most stable, and which one is least stable? model b is the most stable of them, while model a is the least stable.

Model a:
DFT (PBE-GGA) results for crystalline TbTh2Cd at its relaxed geometry.

Values from the calculation:
DOS at the Fermi energy	5.10	states/eV per cell

Geometry as POSCAR:
```
TbTh2Cd
1.0
1.7238 0.9952 12.5615
-1.7238 0.9952 12.5615
0.0000 -1.9905 12.5615
Tb Th Cd
1 2 1
Cartesian
0.0000 0.0000 0.0000
0.0000 0.0000 15.5190
0.0000 0.0000 22.1654
0.0000 0.0000 18.8422
```

Model b:
DFT (PBE-GGA) results for crystalline TbTh2Cd at its relaxed geometry.

Values from the calculation:
DOS at the Fermi energy	4.84	states/eV per cell

Geometry as POSCAR:
```
TbTh2Cd
1.0
4.8414 0.0000 0.0000
0.0000 4.8414 0.0000
0.0000 0.0000 5.0469
Tb Th Cd
1 2 1
Cartesian
0.0000 0.0000 0.0000
0.0000 2.4207 2.5235
2.4207 0.0000 2.5235
2.4207 2.4207 0.0000
```

Which one is most stable, and which one is least stable? model b is the most stable of them, while model a is the least stable.